No. 1
{
  "formula": "Cs2KRuO6",
  "functional": "GGA-PBE",
  "state": "optimized geometry",
  "lattice": [[-3.813, -2.785, -4.707], [-0.079, -5.618, 3.388], [-4.621, 4.536, 1.060]],
  "species": ["O", "O", "O", "O", "O", "O", "Cs", "Cs", "Ru", "K"],
  "frac_coords": [[0.164, 0.866, 0.134], [0.164, 0.269, 0.134], [0.836, 0.134, 0.866], [0.164, 0.866, 0.731], [0.836, 0.134, 0.269], [0.836, 0.731, 0.866], [0.140, 0.333, 0.667], [0.860, 0.667, 0.333], [0.000, 0.000, 0.000], [0.500, 0.000, 0.000]],
  "total_magnetization_mub_per_atom": 0.10,
  "formation_energy_uncorrected_ev_per_fu": -9.52,
  "final_energy_ev_per_atom": -5.14,
  "crystal_system": "trigonal",
  "space_group": "P-3m1 (164)"
}


No. 2
{
  "formula": "Cs3K2RuO6",
  "functional": "GGA-PBE",
  "state": "optimized geometry",
  "lattice": [[6.620, -0.008, 0.017], [-3.315, 5.731, 0.017], [-1.085, -1.878, 6.374]],
  "species": ["Cs", "Cs", "Cs", "Ru", "K", "K", "O", "O", "O", "O", "O", "O"],
  "frac_coords": [[0.500, 0.500, 0.500], [0.833, 0.167, 0.500], [0.167, 0.833, 0.500], [0.000, 0.000, 0.000], [0.334, 0.666, 0.000], [0.666, 0.334, 0.000], [0.299, 0.059, 0.173], [0.701, 0.941, 0.827], [0.182, 0.182, 0.819], [0.941, 0.701, 0.827], [0.818, 0.818, 0.181], [0.059, 0.299, 0.173]],
  "total_magnetization_mub_per_atom": 0.09,
  "formation_energy_uncorrected_ev_per_fu": -14.12,
  "final_energy_ev_per_atom": -4.83,
  "crystal_system": "monoclinic",
  "space_group": "C2/m (12)"
}


No. 3
{
  "formula": "Cs3KRu2O8",
  "functional": "GGA-PBE",
  "state": "optimized geometry",
  "lattice": [[-0.417, 2.189, 6.178], [-2.968, -5.605, -1.706], [7.051, -4.347, 2.016]],
  "species": ["Cs", "Cs", "Cs", "Ru", "Ru", "O", "O", "O", "O", "O", "O", "O", "O", "K"],
  "frac_coords": [[0.333, 0.667, 0.668], [0.667, 0.333, 0.332], [0.000, 0.000, 0.000], [0.667, 0.333, 0.782], [0.333, 0.667, 0.218], [0.814, 0.628, 0.702], [0.667, 0.333, 0.990], [0.333, 0.667, 0.010], [0.628, 0.814, 0.298], [0.814, 0.186, 0.702], [0.372, 0.186, 0.702], [0.186, 0.814, 0.298], [0.186, 0.372, 0.298], [0.000, 0.000, 0.500]],
  "total_magnetization_mub_per_atom": 0.29,
  "formation_energy_uncorrected_ev_per_fu": -18.75,
  "final_energy_ev_per_atom": -5.76,
  "crystal_system": "trigonal",
  "space_group": "P-3m1 (164)"
}


No. 4
{
  "formula": "CsKRu2O6",
  "functional": "GGA-PBE",
  "state": "optimized geometry",
  "lattice": [[8.200, -0.598, 0.932], [-1.598, 8.065, 0.932], [-1.034, -1.170, 6.983]],
  "species": ["Ru", "Ru", "Ru", "Ru", "O", "O", "O", "O", "O", "O", "O", "O", "O", "O", "O", "O", "Cs", "Cs", "K", "K"],
  "frac_coords": [[0.114, 0.370, 0.254], [0.886, 0.630, 0.746], [0.630, 0.886, 0.246], [0.370, 0.114, 0.754], [0.291, 0.469, 0.387], [0.921, 0.811, 0.883], [0.079, 0.189, 0.117], [0.529, 0.051, 0.250], [0.189, 0.079, 0.617], [0.531, 0.709, 0.113], [0.949, 0.471, 0.250], [0.471, 0.949, 0.750], [0.051, 0.529, 0.750], [0.811, 0.921, 0.383], [0.709, 0.531, 0.613], [0.469, 0.291, 0.887], [0.856, 0.144, 0.750], [0.144, 0.856, 0.250], [0.603, 0.397, 0.250], [0.397, 0.603, 0.750]],
  "total_magnetization_mub_per_atom": 0.20,
  "formation_energy_uncorrected_ev_per_fu": -9.90,
  "final_energy_ev_per_atom": -6.02,
  "crystal_system": "monoclinic",
  "space_group": "C2/c (15)"
}


No. 5
{
  "formula": "CsKRuO2",
  "functional": "GGA-PBE",
  "state": "optimized geometry",
  "lattice": [[4.735, 0.000, 0.000], [0.000, 6.225, 0.000], [0.000, 0.000, 4.735]],
  "species": ["Cs", "O", "O", "K", "Ru"],
  "frac_coords": [[0.000, 0.000, 0.000], [0.500, 0.000, 0.000], [0.000, 0.000, 0.500], [0.000, 0.500, 0.000], [0.500, 0.500, 0.500]],
  "total_magnetization_mub_per_atom": 0.64,
  "formation_energy_uncorrected_ev_per_fu": 6.26,
  "final_energy_ev_per_atom": -2.98,
  "crystal_system": "tetragonal",
  "space_group": "P4/mmm (123)"
}


No. 6
{
  "formula": "Cs2KRuO",
  "functional": "GGA-PBE",
  "state": "optimized geometry",
  "lattice": [[-6.563, 1.719, -0.941], [-0.229, -2.476, -2.923], [-1.917, -4.943, 4.337]],
  "species": ["Ru", "Cs", "Cs", "O", "K"],
  "frac_coords": [[0.000, 0.500, 0.000], [0.000, 0.000, 0.500], [0.500, 0.000, 0.000], [0.000, 0.000, 0.000], [0.500, 0.500, 0.500]],
  "total_magnetization_mub_per_atom": 0.00,
  "formation_energy_uncorrected_ev_per_fu": -0.18,
  "final_energy_ev_per_atom": -3.44,
  "crystal_system": "tetragonal",
  "space_group": "P4/mmm (123)"
}


No. 7
{
  "formula": "Cs2KSO4",
  "functional": "GGA-PBE",
  "state": "optimized geometry",
  "lattice": [[6.489, 0.184, 0.282], [-2.599, 5.949, -0.282], [-2.599, -2.652, 5.333]],
  "species": ["O", "O", "O", "O", "S", "Cs", "Cs", "K"],
  "frac_coords": [[0.040, 0.292, 0.527], [0.765, 0.473, 0.513], [0.235, 0.748, 0.708], [0.960, 0.487, 0.252], [0.000, 0.500, 0.500], [0.500, 0.750, 0.250], [0.000, 0.000, 0.000], [0.500, 0.250, 0.750]],
  "total_magnetization_mub_per_atom": 0.03,
  "formation_energy_uncorrected_ev_per_fu": -11.62,
  "final_energy_ev_per_atom": -4.80,
  "crystal_system": "tetragonal",
  "space_group": "I-4 (82)"
}


No. 8
{
  "formula": "Cs3KS2O8",
  "functional": "GGA-PBE",
  "state": "optimized geometry",
  "lattice": [[6.317, 0.000, 0.000], [-3.158, 5.471, 0.000], [0.000, 0.000, 8.222]],
  "species": ["O", "O", "O", "O", "O", "O", "O", "O", "Cs", "Cs", "Cs", "S", "S", "K"],
  "frac_coords": [[0.333, 0.667, 0.061], [0.796, 0.204, 0.696], [0.408, 0.204, 0.696], [0.592, 0.796, 0.304], [0.204, 0.796, 0.304], [0.796, 0.592, 0.696], [0.204, 0.408, 0.304], [0.667, 0.333, 0.939], [0.333, 0.667, 0.694], [0.000, 0.000, 0.000], [0.667, 0.333, 0.306], [0.667, 0.333, 0.758], [0.333, 0.667, 0.242], [0.000, 0.000, 0.500]],
  "total_magnetization_mub_per_atom": 0.01,
  "formation_energy_uncorrected_ev_per_fu": -26.14,
  "final_energy_ev_per_atom": -5.55,
  "crystal_system": "trigonal",
  "space_group": "P-3m1 (164)"
}


No. 9
{
  "formula": "CsKS2O6",
  "functional": "GGA-PBE",
  "state": "optimized geometry",
  "lattice": [[7.821, 0.363, 0.357], [-0.597, 7.806, 0.357], [-1.710, -1.934, 6.500]],
  "species": ["O", "O", "O", "O", "O", "O", "O", "O", "O", "O", "O", "O", "S", "S", "S", "S", "K", "K", "Cs", "Cs"],
  "frac_coords": [[0.202, 0.169, 0.105], [0.169, 0.202, 0.605], [0.542, 0.711, 0.157], [0.362, 0.974, 0.710], [0.289, 0.458, 0.343], [0.974, 0.362, 0.210], [0.638, 0.026, 0.290], [0.026, 0.638, 0.790], [0.798, 0.831, 0.895], [0.831, 0.798, 0.395], [0.711, 0.542, 0.657], [0.458, 0.289, 0.843], [0.154, 0.306, 0.269], [0.306, 0.154, 0.769], [0.846, 0.694, 0.731], [0.694, 0.846, 0.231], [0.619, 0.381, 0.250], [0.381, 0.619, 0.750], [0.178, 0.822, 0.250], [0.822, 0.178, 0.750]],
  "total_magnetization_mub_per_atom": 0.03,
  "formation_energy_uncorrected_ev_per_fu": -14.78,
  "final_energy_ev_per_atom": -5.47,
  "crystal_system": "monoclinic",
  "space_group": "C2/c (15)"
}


No. 10
{
  "formula": "CsKSO4",
  "functional": "GGA-PBE",
  "state": "optimized geometry",
  "lattice": [[-0.418, 3.228, -4.756], [2.427, -4.344, -3.161], [-7.130, -6.064, 2.860]],
  "species": ["Cs", "Cs", "S", "S", "O", "O", "O", "O", "O", "O", "O", "O", "K", "K"],
  "frac_coords": [[0.373, 0.250, 0.133], [0.627, 0.750, 0.867], [0.915, 0.250, 0.704], [0.085, 0.750, 0.296], [0.749, 0.250, 0.781], [0.273, 0.750, 0.477], [0.251, 0.750, 0.219], [0.092, 0.457, 0.756], [0.727, 0.250, 0.523], [0.908, 0.957, 0.244], [0.092, 0.043, 0.756], [0.908, 0.543, 0.244], [0.777, 0.750, 0.493], [0.223, 0.250, 0.507]],
  "total_magnetization_mub_per_atom": 0.02,
  "formation_energy_uncorrected_ev_per_fu": -13.10,
  "final_energy_ev_per_atom": -5.57,
  "crystal_system": "monoclinic",
  "space_group": "P2_1/m (11)"
}


No. 11
{
  "formula": "Cs2K2SbO4",
  "functional": "GGA-PBE",
  "state": "optimized geometry",
  "lattice": [[-0.991, 2.040, 6.333], [2.842, -5.959, -1.286], [4.690, 2.901, -3.851]],
  "species": ["Cs", "Cs", "K", "K", "O", "O", "O", "O", "Sb"],
  "frac_coords": [[0.000, 0.660, 0.660], [0.000, 0.340, 0.340], [0.500, 0.250, 0.750], [0.500, 0.750, 0.250], [0.000, 0.782, 0.218], [0.564, 0.782, 0.782], [0.436, 0.218, 0.218], [0.000, 0.218, 0.782], [0.000, 0.000, 0.000]],
  "total_magnetization_mub_per_atom": 0.09,
  "formation_energy_uncorrected_ev_per_fu": -8.03,
  "final_energy_ev_per_atom": -3.99,
  "crystal_system": "tetragonal",
  "space_group": "I4/mmm (139)"
}


No. 12
{
  "formula": "CsK2SbO4",
  "functional": "GGA-PBE",
  "state": "optimized geometry",
  "lattice": [[-2.598, -6.281, 4.250], [7.757, -1.580, -1.264], [-1.556, 6.480, 2.603]],
  "species": ["Cs", "Cs", "K", "K", "K", "K", "O", "O", "O", "O", "O", "O", "O", "O", "Sb", "Sb"],
  "frac_coords": [[0.000, 0.500, 0.000], [0.000, 0.500, 0.500], [0.500, 0.000, 0.000], [0.000, 0.000, 0.500], [0.500, 0.500, 0.000], [0.500, 0.000, 0.500], [0.638, 0.332, 0.485], [0.168, 0.862, 0.015], [0.832, 0.138, 0.985], [0.753, 0.747, 0.948], [0.362, 0.668, 0.515], [0.247, 0.253, 0.448], [0.753, 0.747, 0.552], [0.247, 0.253, 0.052], [0.500, 0.500, 0.500], [0.000, 0.000, 0.000]],
  "total_magnetization_mub_per_atom": 0.00,
  "formation_energy_uncorrected_ev_per_fu": -10.85,
  "final_energy_ev_per_atom": -4.73,
  "crystal_system": "orthorhombic",
  "space_group": "Imma (74)"
}


No. 13
{
  "formula": "Cs3KSb2O6",
  "functional": "GGA-PBE",
  "state": "optimized geometry",
  "lattice": [[6.841, 0.000, 0.000], [-3.420, 5.924, 0.000], [0.000, 0.000, 8.019]],
  "species": ["Cs", "Cs", "Cs", "Sb", "Sb", "O", "O", "O", "O", "O", "O", "K"],
  "frac_coords": [[0.667, 0.333, 0.345], [0.333, 0.667, 0.655], [0.000, 0.000, 0.000], [0.333, 0.667, 0.198], [0.667, 0.333, 0.802], [0.817, 0.635, 0.715], [0.183, 0.365, 0.285], [0.817, 0.183, 0.715], [0.183, 0.817, 0.285], [0.635, 0.817, 0.285], [0.365, 0.183, 0.715], [0.000, 0.000, 0.500]],
  "total_magnetization_mub_per_atom": 0.17,
  "formation_energy_uncorrected_ev_per_fu": -16.46,
  "final_energy_ev_per_atom": -4.84,
  "crystal_system": "trigonal",
  "space_group": "P-3m1 (164)"
}


No. 14
{
  "formula": "Cs2KSbO4",
  "functional": "GGA-PBE",
  "state": "optimized geometry",
  "lattice": [[6.491, 0.000, 0.000], [3.246, 6.474, 0.000], [3.246, 0.000, 12.281]],
  "species": ["O", "O", "O", "O", "O", "O", "O", "O", "Sb", "Sb", "Cs", "Cs", "Cs", "Cs", "K", "K"],
  "frac_coords": [[0.483, 0.313, 0.577], [0.940, 0.687, 0.577], [0.267, 0.187, 0.923], [0.546, 0.187, 0.077], [0.810, 0.813, 0.923], [0.373, 0.687, 0.423], [0.204, 0.313, 0.423], [0.377, 0.813, 0.077], [0.250, 0.500, 0.500], [0.500, 0.000, 0.000], [0.807, 0.000, 0.386], [0.557, 0.500, 0.886], [0.193, 0.000, 0.614], [0.943, 0.500, 0.114], [0.000, 0.000, 0.000], [0.750, 0.500, 0.500]],
  "total_magnetization_mub_per_atom": 0.02,
  "formation_energy_uncorrected_ev_per_fu": -10.84,
  "final_energy_ev_per_atom": -4.70,
  "crystal_system": "orthorhombic",
  "space_group": "Fddd (70)"
}


No. 15
{
  "formula": "CsK2Se2O6",
  "functional": "GGA-PBE",
  "state": "optimized geometry",
  "lattice": [[6.680, -0.023, 0.106], [3.395, 5.561, 1.308], [-0.001, -1.906, 6.790]],
  "species": ["Se", "Se", "O", "O", "O", "O", "O", "O", "Cs", "K", "K"],
  "frac_coords": [[0.165, 0.672, 0.652], [0.835, 0.328, 0.348], [0.144, 0.451, 0.750], [0.402, 0.664, 0.751], [0.926, 0.927, 0.738], [0.074, 0.073, 0.262], [0.598, 0.336, 0.249], [0.856, 0.549, 0.250], [0.500, 0.000, 0.500], [0.175, 0.651, 0.117], [0.825, 0.349, 0.883]],
  "total_magnetization_mub_per_atom": 0.10,
  "formation_energy_uncorrected_ev_per_fu": -13.89,
  "final_energy_ev_per_atom": -4.88,
  "crystal_system": "triclinic",
  "space_group": "P-1 (2)"
}


No. 16
{
  "formula": "Cs3KSe2O6",
  "functional": "GGA-PBE",
  "state": "optimized geometry",
  "lattice": [[-2.825, -2.869, -5.162], [-2.528, -0.808, 5.984], [-4.567, 6.410, -1.063]],
  "species": ["Se", "Se", "O", "O", "O", "O", "O", "O", "K", "Cs", "Cs", "Cs"],
  "frac_coords": [[0.667, 0.333, 0.804], [0.333, 0.667, 0.196], [0.195, 0.389, 0.286], [0.805, 0.611, 0.714], [0.389, 0.195, 0.714], [0.611, 0.805, 0.286], [0.195, 0.805, 0.286], [0.805, 0.195, 0.714], [0.000, 0.000, 0.500], [0.667, 0.333, 0.343], [0.333, 0.667, 0.657], [0.000, 0.000, 0.000]],
  "total_magnetization_mub_per_atom": 0.00,
  "formation_energy_uncorrected_ev_per_fu": -17.77,
  "final_energy_ev_per_atom": -4.85,
  "crystal_system": "trigonal",
  "space_group": "P-3m1 (164)"
}


No. 17
{
  "formula": "Cs2KSeO4",
  "functional": "GGA-PBE",
  "state": "optimized geometry",
  "lattice": [[6.356, 0.073, 0.111], [-2.642, 5.781, -0.111], [-2.642, -2.428, 5.247]],
  "species": ["O", "O", "O", "O", "K", "Se", "Cs", "Cs"],
  "frac_coords": [[0.304, 0.797, 0.759], [0.039, 0.241, 0.546], [0.961, 0.507, 0.203], [0.696, 0.454, 0.493], [0.500, 0.250, 0.750], [0.000, 0.500, 0.500], [0.000, 0.000, 0.000], [0.500, 0.750, 0.250]],
  "total_magnetization_mub_per_atom": 0.12,
  "formation_energy_uncorrected_ev_per_fu": -9.75,
  "final_energy_ev_per_atom": -4.48,
  "crystal_system": "tetragonal",
  "space_group": "I-4 (82)"
}


No. 18
{
  "formula": "CsKSeO4",
  "functional": "GGA-PBE",
  "state": "optimized geometry",
  "lattice": [[-7.222, -1.076, 1.667], [-3.534, -5.953, -2.327], [-2.019, -5.188, 4.728]],
  "species": ["O", "O", "O", "O", "O", "O", "O", "O", "Cs", "Cs", "Se", "Se", "K", "K"],
  "frac_coords": [[0.663, 0.271, 0.771], [0.289, 0.271, 0.151], [0.704, 0.729, 0.229], [0.711, 0.729, 0.849], [0.289, 0.651, 0.771], [0.296, 0.271, 0.771], [0.337, 0.729, 0.229], [0.711, 0.349, 0.229], [0.000, 0.500, 0.500], [0.000, 0.000, 0.000], [0.615, 0.635, 0.135], [0.385, 0.365, 0.865], [0.500, 0.000, 0.500], [0.000, 0.000, 0.500]],
  "total_magnetization_mub_per_atom": 0.00,
  "formation_energy_uncorrected_ev_per_fu": -8.80,
  "final_energy_ev_per_atom": -4.87,
  "crystal_system": "orthorhombic",
  "space_group": "Imma (74)"
}


No. 19
{
  "formula": "Cs2KSe2O6",
  "functional": "GGA-PBE",
  "state": "optimized geometry",
  "lattice": [[-4.258, -0.178, -5.099], [-2.253, -0.529, 6.230], [2.633, 7.812, -2.471]],
  "species": ["O", "O", "O", "O", "O", "O", "Cs", "Cs", "Se", "Se", "K"],
  "frac_coords": [[0.777, 0.555, 0.663], [0.788, 0.990, 0.271], [0.798, 0.010, 0.729], [0.212, 0.010, 0.729], [0.223, 0.445, 0.337], [0.202, 0.990, 0.271], [0.259, 0.518, 0.727], [0.741, 0.482, 0.273], [0.950, 0.900, 0.789], [0.050, 0.100, 0.211], [0.500, 0.000, 0.500]],
  "total_magnetization_mub_per_atom": 0.09,
  "formation_energy_uncorrected_ev_per_fu": -14.15,
  "final_energy_ev_per_atom": -4.88,
  "crystal_system": "monoclinic",
  "space_group": "C2/m (12)"
}


No. 20
{
  "formula": "CsK2Sn3O8",
  "functional": "GGA-PBE",
  "state": "optimized geometry",
  "lattice": [[-2.625, 5.981, -0.553], [-4.253, 1.280, -4.821], [-7.362, 0.564, 2.188]],
  "species": ["Sn", "Sn", "Sn", "O", "O", "O", "O", "O", "O", "O", "O", "K", "K", "Cs"],
  "frac_coords": [[0.500, 0.500, 0.997], [0.003, 0.500, 0.997], [0.500, 0.003, 0.997], [0.326, 0.756, 0.162], [0.684, 0.240, 0.836], [0.275, 0.275, 0.174], [0.756, 0.326, 0.162], [0.723, 0.723, 0.830], [0.240, 0.684, 0.836], [0.240, 0.240, 0.836], [0.756, 0.756, 0.162], [0.126, 0.126, 0.621], [0.499, 0.499, 0.502], [0.864, 0.864, 0.407]],
  "total_magnetization_mub_per_atom": 0.07,
  "formation_energy_uncorrected_ev_per_fu": -20.80,
  "final_energy_ev_per_atom": -5.39,
  "crystal_system": "trigonal",
  "space_group": "R3m (160)"
}